No. 1
Compound: Tl6SnHg2Au
Source: the Alexandria database
Functional: PBE
Structure: optimized geometry

Properties
Symmetry: No. 1
Formation enthalpy at 0 K, eV per atom: 0.00
DOS at the Fermi energy, states/eV/atom: 0.4290
Theoretical density, g/cm3: 11.11

```
Tl6SnHg2Au
1.0
9.2187 -0.0428 0.0316
4.5770 8.0067 0.0470
4.5869 2.6856 3.9521
Tl Sn Hg Au
6 1 2 1
Cartesian
7.5323 2.6005 1.1681 Tl
7.6772 8.1336 1.1931 Tl
12.3734 5.2097 1.1987 Tl
10.6808 7.8619 3.2511 Tl
10.6339 2.7546 3.2346 Tl
6.2471 5.3984 3.2392 Tl
13.7906 7.9862 2.2504 Sn
9.1872 5.3199 1.3133 Hg
4.5989 2.6734 3.1052 Hg
4.5932 2.6555 0.2334 Au
```

No. 2
Compound: MnNb2SiH
Source: the Alexandria database
Functional: PBE
Structure: optimized geometry

Properties
Symmetry: No. 123
DFT total energy, eV/atom: -7.858
DOS at the Fermi energy, states/eV/atom: 0.4356
Theoretical density, g/cm3: 7.04

```
MnNb2SiH
1.0
4.1059 0.0000 0.0000
0.0000 4.1059 0.0000
0.0000 0.0000 3.7775
H Nb Mn Si
1 2 1 1
Cartesian
0.0000 0.0000 0.0000 H
0.0000 2.0530 0.0000 Nb
2.0530 0.0000 0.0000 Nb
0.0000 0.0000 1.8888 Mn
2.0530 2.0530 1.8888 Si
```

No. 3
Compound: Dy2Zn2BRh4
Source: the Alexandria database
Functional: PBE
Structure: optimized geometry

Properties
Symmetry: No. 139
Formation enthalpy at 0 K, eV per atom: -0.69
DOS at the Fermi energy, states/eV/atom: 0.4104
Theoretical density, g/cm3: 10.25

```
Dy2Zn2BRh4
1.0
-4.2716 2.2747 3.1607
0.2175 -5.7667 -0.3290
5.3751 0.6487 2.0243
Dy Zn B Rh
2 2 1 4
Cartesian
-0.6289 -3.0255 1.8397 Dy
1.9499 0.1822 3.0163 Dy
3.9497 -3.6145 1.1973 Zn
1.6429 -1.5035 0.4980 Zn
0.0000 0.0000 0.0000 B
1.4877 -4.1868 0.2506 Rh
2.0477 -2.7033 2.8818 Rh
4.1050 -0.9312 1.4448 Rh
-0.7266 -0.1400 1.9743 Rh
```